Entry 1:
## CsZnReI2 (meta-GGA SCAN)

Data for a PBEsol-optimized structure of CsZnReI2.

Results
density of states at the Fermi level = 7.18 states/eV/f.u.
raw formation energy = 1.5169 eV/atom

a = 6.952 Å, b = 6.952 Å, c = 6.716 Å
α = 90.00°, β = 90.00°, γ = 90.00°
Space group P4/mmm (No. 123)
Unique sites:
Cs1 0.000 0.000 0.000 [1 per cell]
Zn1 0.500 0.500 0.500 [1 per cell]
Re1 0.000 0.000 0.500 [1 per cell]
I1 0.000 0.500 0.000 [2 per cell]

Entry 2:
## Mg2InRu (meta-GGA SCAN)

Data for a PBEsol-optimized structure of Mg2InRu.

Results
density of states at the Fermi level = 1.93 states/eV/f.u.

a = 6.519 Å, b = 6.519 Å, c = 6.519 Å
α = 90.00°, β = 90.00°, γ = 90.00°
Space group F-43m (No. 216)
Unique sites:
Mg1 0.000 0.000 0.000 [4 per cell]
Mg2 0.250 0.250 0.250 [4 per cell]
In1 0.250 0.250 0.750 [4 per cell]
Ru1 0.000 0.000 0.500 [4 per cell]

Entry 3:
## TaNiCl (meta-GGA SCAN)

Data for a PBEsol-optimized structure of TaNiCl.

Results
density of states at the Fermi level = 1.21 states/eV/f.u.
raw formation energy = 0.8342 eV/atom
offset from the most stable computed form = 505.4 meV per atom

a = 5.602 Å, b = 5.602 Å, c = 5.602 Å
α = 90.00°, β = 90.00°, γ = 90.00°
Space group F-43m (No. 216)
Unique sites:
Ta1 0.000 0.000 0.000 [4 per cell]
Ni1 0.000 0.000 0.500 [4 per cell]
Cl1 0.250 0.250 0.250 [4 per cell]

Entry 4:
## Se2N2Cl (meta-GGA SCAN)

Data for a PBEsol-optimized structure of Se2N2Cl.

Results
density of states at the Fermi level = 2.30 states/eV/f.u.
raw formation energy = 0.4216 eV/atom

a = 10.987 Å, b = 10.987 Å, c = 2.419 Å
α = 90.00°, β = 90.00°, γ = 90.00°
Space group P4/mbm (No. 127)
Unique sites:
Se1 0.239 0.261 0.000 [4 per cell]
N1 0.036 0.536 0.500 [4 per cell]
Cl1 0.000 0.000 0.500 [2 per cell]

Entry 5:
## CrOs2Rh (meta-GGA SCAN)

Data for a PBEsol-optimized structure of CrOs2Rh.

Results
density of states at the Fermi level = 3.20 states/eV/f.u.
offset from the most stable computed form = 5.7 meV per atom

a = 3.763 Å, b = 3.763 Å, c = 7.470 Å
α = 90.00°, β = 90.00°, γ = 90.00°
Space group I-4m2 (No. 119)
Unique sites:
Cr1 0.000 0.000 0.000 [2 per cell]
Os1 0.000 0.000 0.500 [2 per cell]
Os2 0.000 0.500 0.250 [2 per cell]
Rh1 0.000 0.500 0.750 [2 per cell]

Entry 6:
## TeIrW (meta-GGA SCAN)

Data for a PBEsol-optimized structure of TeIrW.

Results
density of states at the Fermi level = 2.25 states/eV/f.u.
raw formation energy = 0.8000 eV/atom
offset from the most stable computed form = 267.9 meV per atom

a = 4.4773 Å, b = 4.4773 Å, c = 2.9511 Å
α = 90.00°, β = 90.00°, γ = 120.00°
Space group P3m1 (No. 156)
Unique sites:
Te1 0.0000 0.0000 0.0000 [1 per cell]
Ir1 0.6667 0.3333 0.2926 [1 per cell]
W1 0.3333 0.6667 0.7685 [1 per cell]

Entry 7:
## BeCuRh2 (meta-GGA SCAN)

Data for a PBEsol-optimized structure of BeCuRh2.

Results
density of states at the Fermi level = 2.42 states/eV/f.u.

a = 5.796 Å, b = 5.796 Å, c = 5.796 Å
α = 90.00°, β = 90.00°, γ = 90.00°
Space group F-43m (No. 216)
Unique sites:
Be1 0.000 0.000 0.000 [4 per cell]
Cu1 0.250 0.250 0.250 [4 per cell]
Rh1 0.000 0.000 0.500 [4 per cell]
Rh2 0.250 0.250 0.750 [4 per cell]

Entry 8:
## NaMnAsO4 (meta-GGA SCAN)

Data for a PBEsol-optimized structure of NaMnAsO4.

Results
raw formation energy = -1.8365 eV/atom

a = 10.778 Å, b = 6.370 Å, c = 5.180 Å
α = 90.00°, β = 90.00°, γ = 90.00°
Space group Pnma (No. 62)
Unique sites:
Na1 0.000 0.000 0.000 [4 per cell]
Mn1 0.219 0.250 0.495 [4 per cell]
As1 0.105 0.750 0.446 [4 per cell]
O1 0.045 0.250 0.667 [4 per cell]
O2 0.113 0.750 0.775 [4 per cell]
O3 0.179 0.541 0.297 [8 per cell]

Entry 9:
## CaIn2Ni (meta-GGA SCAN)

Data for a PBEsol-optimized structure of CaIn2Ni.

Results
density of states at the Fermi level = 2.03 states/eV/f.u.

a = 3.414 Å, b = 3.414 Å, c = 7.326 Å
α = 90.00°, β = 90.00°, γ = 90.00°
Space group P4mm (No. 99)
Unique sites:
Ca1 0.000 0.000 0.000 [1 per cell]
In1 0.000 0.000 0.585 [1 per cell]
In2 0.500 0.500 0.312 [1 per cell]
Ni1 0.500 0.500 0.722 [1 per cell]

Entry 10:
## ZrSbMo2 (meta-GGA SCAN)

Data for a PBEsol-optimized structure of ZrSbMo2.

Results
density of states at the Fermi level = 3.00 states/eV/f.u.
raw formation energy = 0.1032 eV/atom

a = 6.562 Å, b = 6.562 Å, c = 6.562 Å
α = 90.00°, β = 90.00°, γ = 90.00°
Space group F-43m (No. 216)
Unique sites:
Zr1 0.000 0.000 0.000 [4 per cell]
Sb1 0.250 0.250 0.750 [4 per cell]
Mo1 0.000 0.000 0.500 [4 per cell]
Mo2 0.250 0.250 0.250 [4 per cell]

Entry 11:
## ZrAgHg (meta-GGA SCAN)

Data for a PBEsol-optimized structure of ZrAgHg.

Results
density of states at the Fermi level = 1.48 states/eV/f.u.

a = 4.7461 Å, b = 4.7461 Å, c = 2.9326 Å
α = 90.00°, β = 90.00°, γ = 120.00°
Space group P-6m2 (No. 187)
Unique sites:
Zr1 0.0000 0.0000 0.0000 [1 per cell]
Ag1 0.3333 0.6667 0.5000 [1 per cell]
Hg1 0.6667 0.3333 0.5000 [1 per cell]

Entry 12:
## KRb3 (meta-GGA SCAN)

Data for a PBEsol-optimized structure of KRb3.

Results
density of states at the Fermi level = 3.16 states/eV/f.u.

a = 10.934 Å, b = 10.934 Å, c = 10.934 Å
α = 90.00°, β = 90.00°, γ = 90.00°
Space group Fm-3m (No. 225)
Unique sites:
K1 0.000 0.000 0.000 [4 per cell]
Rb1 0.000 0.000 0.500 [4 per cell]
Rb2 0.250 0.250 0.250 [8 per cell]

Entry 13:
## SiMo3I (meta-GGA SCAN)

Data for a PBEsol-optimized structure of SiMo3I.

Results
density of states at the Fermi level = 6.29 states/eV/f.u.
raw formation energy = 2.4708 eV/atom

a = 4.794 Å, b = 4.794 Å, c = 4.794 Å
α = 90.00°, β = 90.00°, γ = 90.00°
Space group Pm-3m (No. 221)
Unique sites:
Si1 0.000 0.000 0.000 [1 per cell]
Mo1 0.000 0.500 0.500 [3 per cell]
I1 0.500 0.500 0.500 [1 per cell]

Entry 14:
## ZnNi2 (meta-GGA SCAN)

Data for a PBEsol-optimized structure of ZnNi2.

Results
density of states at the Fermi level = 2.70 states/eV/f.u.

a = 3.9546 Å, b = 3.9546 Å, c = 2.4598 Å
α = 90.00°, β = 90.00°, γ = 120.00°
Space group P-3m1 (No. 164)
Unique sites:
Zn1 0.0000 0.0000 0.0000 [1 per cell]
Ni1 0.3333 0.6667 0.6799 [2 per cell]

Entry 15:
## Mg3Ag2 (meta-GGA SCAN)

Data for a PBEsol-optimized structure of Mg3Ag2.

Results
density of states at the Fermi level = 1.48 states/eV/f.u.
offset from the most stable computed form = 63.0 meV per atom

a = 3.471 Å, b = 3.471 Å, c = 15.803 Å
α = 90.00°, β = 90.00°, γ = 90.00°
Space group I4/mmm (No. 139)
Unique sites:
Mg1 0.000 0.000 0.000 [2 per cell]
Mg2 0.000 0.000 0.384 [4 per cell]
Ag1 0.000 0.000 0.201 [4 per cell]

Entry 16:
## Fe2AsIr (meta-GGA SCAN)

Data for a PBEsol-optimized structure of Fe2AsIr.

Results
density of states at the Fermi level = 2.38 states/eV/f.u.

a = 8.118 Å, b = 2.836 Å, c = 4.538 Å
α = 90.00°, β = 99.59°, γ = 90.00°
Space group Cm (No. 8)
Unique sites:
Fe1 0.000 0.000 0.000 [2 per cell]
Fe2 0.240 0.500 0.200 [2 per cell]
As1 0.242 0.000 0.744 [2 per cell]
Ir1 0.486 0.000 0.484 [2 per cell]

Entry 17:
## Li3Mn2SbO6 (meta-GGA SCAN)

Data for a PBEsol-optimized structure of Li3Mn2SbO6.

Results
raw formation energy = -2.0023 eV/atom

a = 5.370 Å, b = 9.247 Å, c = 5.214 Å
α = 90.00°, β = 110.71°, γ = 90.00°
Space group C2/m (No. 12)
Unique sites:
Li1 0.000 0.000 0.000 [2 per cell]
Li2 0.000 0.336 0.000 [4 per cell]
Mn1 0.000 0.167 0.500 [4 per cell]
Sb1 0.000 0.500 0.500 [2 per cell]
O1 0.231 0.500 0.270 [4 per cell]
O2 0.233 0.345 0.739 [8 per cell]

Entry 18:
## YRe3Bi (meta-GGA SCAN)

Data for a PBEsol-optimized structure of YRe3Bi.

Results
density of states at the Fermi level = 4.59 states/eV/f.u.

a = 4.812 Å, b = 4.812 Å, c = 4.812 Å
α = 90.00°, β = 90.00°, γ = 90.00°
Space group Pm-3m (No. 221)
Unique sites:
Y1 0.000 0.000 0.000 [1 per cell]
Re1 0.000 0.000 0.500 [3 per cell]
Bi1 0.500 0.500 0.500 [1 per cell]

Entry 19:
## BaSb2TeI (meta-GGA SCAN)

Data for a PBEsol-optimized structure of BaSb2TeI.

Results
density of states at the Fermi level = 4.53 states/eV/f.u.
raw formation energy = -0.2041 eV/atom

a = 5.701 Å, b = 5.701 Å, c = 5.985 Å
α = 90.00°, β = 90.00°, γ = 90.00°
Space group P4/mmm (No. 123)
Unique sites:
Ba1 0.000 0.000 0.000 [1 per cell]
Sb1 0.000 0.500 0.500 [2 per cell]
Te1 0.500 0.500 0.500 [1 per cell]
I1 0.500 0.500 0.000 [1 per cell]

Entry 20:
## SrTc2As (meta-GGA SCAN)

Data for a PBEsol-optimized structure of SrTc2As.

Results
density of states at the Fermi level = 4.08 states/eV/f.u.

a = 4.522 Å, b = 4.522 Å, c = 6.836 Å
α = 90.00°, β = 90.00°, γ = 90.00°
Space group I-4m2 (No. 119)
Unique sites:
Sr1 0.000 0.000 0.000 [2 per cell]
Tc1 0.000 0.000 0.500 [2 per cell]
Tc2 0.000 0.500 0.750 [2 per cell]
As1 0.000 0.500 0.250 [2 per cell]

Entry 21:
## YNiMo2 (meta-GGA SCAN)

Data for a PBEsol-optimized structure of YNiMo2.

Results
density of states at the Fermi level = 4.54 states/eV/f.u.
offset from the most stable computed form = 295.0 meV per atom

a = 6.319 Å, b = 6.319 Å, c = 6.319 Å
α = 90.00°, β = 90.00°, γ = 90.00°
Space group Fm-3m (No. 225)
Unique sites:
Y1 0.000 0.000 0.000 [4 per cell]
Ni1 0.000 0.000 0.500 [4 per cell]
Mo1 0.250 0.250 0.250 [8 per cell]

Entry 22:
## SmAlGa (meta-GGA SCAN)

Data for a PBEsol-optimized structure of SmAlGa.

Results
density of states at the Fermi level = 1.20 states/eV/f.u.

a = 4.4425 Å, b = 4.4425 Å, c = 3.6390 Å
α = 90.00°, β = 90.00°, γ = 120.00°
Space group P-6m2 (No. 187)
Unique sites:
Sm1 0.0000 0.0000 0.0000 [1 per cell]
Al1 0.6667 0.3333 0.5000 [1 per cell]
Ga1 0.3333 0.6667 0.5000 [1 per cell]

Entry 23:
## DyTc2 (meta-GGA SCAN)

Data for a PBEsol-optimized structure of DyTc2.

Results
density of states at the Fermi level = 2.73 states/eV/f.u.

a = 5.2942 Å, b = 5.2942 Å, c = 8.7525 Å
α = 90.00°, β = 90.00°, γ = 120.00°
Space group P6_3/mmc (No. 194)
Unique sites:
Dy1 0.3333 0.6667 0.0628 [4 per cell]
Tc1 0.0000 0.0000 0.0000 [2 per cell]
Tc2 0.1710 0.3420 0.7500 [6 per cell]

Entry 24:
## As2PbAu (meta-GGA SCAN)

Data for a PBEsol-optimized structure of As2PbAu.

Results
density of states at the Fermi level = 1.53 states/eV/f.u.

a = 4.729 Å, b = 3.958 Å, c = 5.090 Å
α = 90.00°, β = 107.14°, γ = 90.00°
Space group P2/m (No. 10)
Unique sites:
As1 0.247 0.000 0.172 [2 per cell]
Pb1 0.000 0.500 0.500 [1 per cell]
Au1 0.500 0.500 0.000 [1 per cell]

Entry 25:
## HgSb2TeF (meta-GGA SCAN)

Data for a PBEsol-optimized structure of HgSb2TeF.

Results
density of states at the Fermi level = 3.69 states/eV/f.u.
raw formation energy = 0.5854 eV/atom

a = 5.468 Å, b = 5.468 Å, c = 5.481 Å
α = 90.00°, β = 90.00°, γ = 90.00°
Space group P4/mmm (No. 123)
Unique sites:
Hg1 0.000 0.000 0.000 [1 per cell]
Sb1 0.000 0.500 0.000 [2 per cell]
Te1 0.000 0.000 0.500 [1 per cell]
F1 0.500 0.500 0.500 [1 per cell]

Entry 26:
## Na2BiO3 (meta-GGA SCAN)

Data for a PBEsol-optimized structure of Na2BiO3.

Results
density of states at the Fermi level = 0.56 states/eV/f.u.
raw formation energy = -1.3874 eV/atom

a = 6.726 Å, b = 4.741 Å, c = 9.940 Å
α = 90.00°, β = 90.00°, γ = 90.00°
Space group Pnma (No. 62)
Unique sites:
Na1 0.119 0.250 0.247 [4 per cell]
Na2 0.123 0.250 0.920 [4 per cell]
Bi1 0.137 0.250 0.591 [4 per cell]
O1 0.106 0.750 0.572 [4 per cell]
O2 0.123 0.750 0.249 [4 per cell]
O3 0.157 0.750 0.936 [4 per cell]

Entry 27:
## Sr2CaAs (meta-GGA SCAN)

Data for a PBEsol-optimized structure of Sr2CaAs.

Results
density of states at the Fermi level = 2.22 states/eV/f.u.

a = 3.872 Å, b = 4.654 Å, c = 16.294 Å
α = 90.00°, β = 90.00°, γ = 90.00°
Space group Immm (No. 71)
Unique sites:
Sr1 0.000 0.000 0.159 [4 per cell]
Ca1 0.000 0.500 0.000 [2 per cell]
As1 0.000 0.500 0.500 [2 per cell]

no.,M_tot (μB per cell),total DFT energy (no corrections) (eV per cell)
1,6.09,-188.32
2,0.00,-314.30
3,0.00,-352.93
4,0.00,-129.22
5,2.19,-391.85
6,0.00,-175.64
7,6.04,-348.57
8,20.00,-321.76
9,0.00,-93.11
10,0.00,-549.27
11,0.00,-130.89
12,0.00,-282.18
13,2.04,-139.06
14,0.22,-45.95
15,0.07,-156.67
16,11.31,-255.33
17,20.00,-284.71
18,1.99,-304.40
19,0.00,-189.08
20,0.01,-220.23
21,0.00,-442.91
22,0.00,-70.53
23,0.00,-474.67
24,0.00,-185.57
25,0.00,-180.55
26,0.00,-456.11
27,0.80,-153.94